The following is a DFT calculation (GGA-PBEsol) of an optimized crystal structure of Zn2PCl.

Summary:
Energy above the most stable polymorph in this dataset = 0 meV per atom
Spin magnetization = 0.00 μB per formula unit
E = -3.216 eV/atom

```
data_Zn2PCl
_space_group_name_H-M_alt 'I -4 2 d'
_space_group_IT_number 122
_space_group_name_Hall 'I -4 2bw'
_cell_length_a 5.473
_cell_length_b 5.473
_cell_length_c 11.411
_cell_angle_alpha 90.00
_cell_angle_beta 90.00
_cell_angle_gamma 90.00
loop_
_atom_site_label
_atom_site_fract_x
_atom_site_fract_y
_atom_site_fract_z
Zn1 0.201 0.250 0.125
P1 0.000 0.000 0.000
Cl1 0.000 0.000 0.500
```